{
  "formula": "SmTcP2Ru",
  "functional": "GGA-PBE",
  "state": "optimized geometry",
  "rho_g_cm3": 8.248,
  "formation_energy_ev_per_atom": -0.98,
  "dos_ef_per_ev_cell": 2.058,
  "lattice_angstrom": [[4.1326, 0.0000, 0.0000], [0.0000, 4.1326, 0.0000], [-2.0663, -2.0663, 4.8495]],
  "species": ["P", "P", "Ru", "Tc", "Sm"],
  "frac_coords": [[0.6326, 0.6326, 0.2653], [0.3674, 0.3674, 0.7347], [0.2500, 0.7500, 0.5000], [0.7500, 0.2500, 0.5000], [0.0000, 0.0000, 0.0000]]
}

---

{
  "formula": "BaCa2MgAg",
  "functional": "GGA-PBE",
  "state": "optimized geometry",
  "rho_g_cm3": 2.720,
  "formation_energy_ev_per_atom": 0.03,
  "polymorph_energy_ev_per_atom": 0.100,
  "dos_ef_per_ev_cell": 3.583,
  "lattice_angstrom": [[5.8410, 0.0000, 0.0000], [0.0000, 5.8410, 0.0000], [0.0000, 0.0000, 6.2564]],
  "species": ["Ca", "Ca", "Mg", "Ag", "Ba"],
  "frac_coords": [[0.5000, 0.0000, 0.0000], [0.0000, 0.5000, 0.0000], [0.5000, 0.5000, 0.5000], [0.0000, 0.0000, 0.0000], [0.0000, 0.0000, 0.5000]]
}

---

{
  "formula": "In2FeP",
  "functional": "GGA-PBE",
  "state": "optimized geometry",
  "rho_g_cm3": 6.650,
  "formation_energy_ev_per_atom": 0.42,
  "dos_ef_per_ev_cell": 3.756,
  "lattice_angstrom": [[7.9409, -0.1158, -0.0687], [7.2429, 3.2576, -0.0687], [7.2429, 1.4987, 2.8932]],
  "species": ["Fe", "In", "In", "P"],
  "frac_coords": [[0.7500, 0.7500, 0.7500], [0.5026, 0.5026, 0.5026], [0.9974, 0.9974, 0.9974], [0.2500, 0.2500, 0.2500]]
}

---

{
  "formula": "AcEuBiRh",
  "functional": "GGA-PBE",
  "state": "optimized geometry",
  "rho_g_cm3": 10.760,
  "formation_energy_ev_per_atom": -0.31,
  "dos_ef_per_ev_cell": 3.176,
  "lattice_angstrom": [[5.3224, 0.0000, 0.0000], [2.6612, 4.6093, 0.0000], [2.6612, 1.5364, 4.3457]],
  "species": ["Rh", "Eu", "Ac", "Bi"],
  "frac_coords": [[0.2500, 0.2500, 0.2500], [0.7500, 0.7500, 0.7500], [0.0000, 0.0000, 0.0000], [0.5000, 0.5000, 0.5000]]
}

---

{
  "formula": "KCdGa2Hg",
  "functional": "GGA-PBE",
  "state": "optimized geometry",
  "rho_g_cm3": 6.223,
  "formation_energy_ev_per_atom": -0.11,
  "dos_ef_per_ev_cell": 2.833,
  "lattice_angstrom": [[4.6231, 0.0000, 0.0000], [0.0000, 4.7672, 0.0000], [-2.3116, -2.3836, 5.9513]],
  "species": ["Cd", "K", "Ga", "Ga", "Hg"],
  "frac_coords": [[0.1828, 0.6828, 0.3656], [0.4405, 0.4405, 0.8810], [0.6844, 0.1844, 0.3689], [0.0676, 0.0676, 0.1352], [0.8368, 0.8368, 0.6736]]
}

---

{
  "formula": "CeHo3Al8",
  "functional": "GGA-PBE",
  "state": "optimized geometry",
  "rho_g_cm3": 5.789,
  "formation_energy_ev_per_atom": -0.48,
  "polymorph_energy_ev_per_atom": 0.011,
  "dos_ef_per_ev_cell": 10.433,
  "lattice_angstrom": [[-3.4002, -2.3654, -3.6939], [3.5181, -3.1313, 2.9360], [-6.3482, -1.0331, 6.5050]],
  "species": ["Al", "Al", "Al", "Al", "Al", "Al", "Al", "Al", "Ho", "Ho", "Ho", "Ce"],
  "frac_coords": [[0.6755, 0.8378, 0.2482], [0.5040, 0.4960, 0.7524], [0.3333, 0.6667, 0.4986], [0.1622, 0.8378, 0.2482], [0.1622, 0.3245, 0.2482], [0.9921, 0.4960, 0.7524], [0.3333, 0.6667, 0.0038], [0.5040, 0.0079, 0.7524], [0.6667, 0.3333, 0.0661], [0.0000, 0.0000, 0.9286], [0.6667, 0.3333, 0.4333], [0.0000, 0.0000, 0.5681]]
}

---

{
  "formula": "YCuSeN2",
  "functional": "GGA-PBE",
  "state": "optimized geometry",
  "rho_g_cm3": 3.853,
  "raw_formation_energy_ev_per_atom": 0.97,
  "polymorph_energy_ev_per_atom": 0.497,
  "dos_ef_per_ev_cell": 3.006,
  "lattice_angstrom": [[4.4170, 0.0000, 0.0000], [0.0000, 4.4170, 0.0000], [0.0000, 0.0000, 5.7311]],
  "species": ["Y", "N", "N", "Cu", "Se"],
  "frac_coords": [[0.0000, 0.0000, 0.0000], [0.5000, 0.0000, 0.0000], [0.0000, 0.5000, 0.0000], [0.5000, 0.5000, 0.5000], [0.0000, 0.0000, 0.5000]]
}

---

{
  "formula": "LiTbPuIn",
  "functional": "GGA-PBE",
  "state": "optimized geometry",
  "rho_g_cm3": 8.270,
  "formation_energy_ev_per_atom": -0.03,
  "dos_ef_per_ev_cell": 7.977,
  "lattice_angstrom": [[5.3012, 0.0000, 0.0000], [2.6506, 4.5910, 0.0000], [2.6506, 1.5303, 4.3284]],
  "species": ["Li", "Pu", "Tb", "In"],
  "frac_coords": [[0.0000, 0.0000, 0.0000], [0.7500, 0.7500, 0.7500], [0.2500, 0.2500, 0.2500], [0.5000, 0.5000, 0.5000]]
}

---

{
  "formula": "Ce6Zn2FeH",
  "functional": "GGA-PBE",
  "state": "optimized geometry",
  "rho_g_cm3": 8.028,
  "dft_energy_ev_per_cell": -51.0,
  "dos_ef_per_ev_cell": 21.883,
  "lattice_angstrom": [[-2.5268, -6.6011, 2.1955], [4.6413, -1.8765, -3.4993], [4.6084, -3.8422, 2.6130]],
  "species": ["Zn", "Zn", "Ce", "Ce", "Ce", "Ce", "Ce", "Ce", "Fe", "H"],
  "frac_coords": [[0.1878, 0.9530, 0.4225], [0.8122, 0.0470, 0.5775], [0.3508, 0.9652, 0.8595], [0.2237, 0.3960, 0.5102], [0.6492, 0.0348, 0.1405], [0.8042, 0.5582, 0.0595], [0.1958, 0.4418, 0.9405], [0.7763, 0.6040, 0.4898], [0.5000, 0.5000, 0.0000], [0.0000, 0.0000, 0.0000]]
}

---

{
  "formula": "KLiSeBr",
  "functional": "GGA-PBE",
  "state": "optimized geometry",
  "rho_g_cm3": 2.847,
  "raw_formation_energy_ev_per_atom": -1.01,
  "polymorph_energy_ev_per_atom": 0.042,
  "dos_ef_per_ev_cell": 3.032,
  "lattice_angstrom": [[-0.3687, -4.5581, 4.6778], [4.2022, 1.2091, 1.5093], [-3.1894, 6.3050, 3.8290]],
  "species": ["Se", "Se", "K", "K", "Br", "Br", "Li", "Li"],
  "frac_coords": [[0.0783, 0.0000, 0.4719], [0.0783, 0.5000, 0.9719], [0.7841, 0.0000, 0.7718], [0.7841, 0.5000, 0.2718], [0.5167, 0.0000, 0.4072], [0.5167, 0.5000, 0.9072], [0.1885, 0.0000, 0.1561], [0.1885, 0.5000, 0.6561]]
}

---

{
  "formula": "Ce2Nd3YTe6",
  "functional": "GGA-PBE",
  "state": "optimized geometry",
  "rho_g_cm3": 6.848,
  "raw_formation_energy_ev_per_atom": -1.39,
  "dos_ef_per_ev_cell": 17.820,
  "lattice_angstrom": [[4.4463, 0.0000, 0.0000], [0.0000, 9.0073, 0.2901], [-2.2232, -2.6254, 9.4057]],
  "species": ["Te", "Te", "Te", "Te", "Te", "Te", "Ce", "Ce", "Y", "Nd", "Nd", "Nd"],
  "frac_coords": [[0.3368, 0.9169, 0.6735], [0.6664, 0.5840, 0.3328], [0.9998, 0.2422, 0.9996], [0.0002, 0.7578, 0.0004], [0.3336, 0.4160, 0.6672], [0.6632, 0.0831, 0.3265], [0.8326, 0.6640, 0.6652], [0.1674, 0.3360, 0.3348], [0.5000, 0.0000, 0.0000], [0.1681, 0.8342, 0.3361], [0.5000, 0.5000, 0.0000], [0.8319, 0.1658, 0.6639]]
}

---

{
  "formula": "TmZr2Cu9",
  "functional": "GGA-PBE",
  "state": "optimized geometry",
  "rho_g_cm3": 8.515,
  "formation_energy_ev_per_atom": -0.15,
  "dos_ef_per_ev_cell": 7.043,
  "lattice_angstrom": [[4.8454, 0.0000, 1.4421], [2.2081, 4.3130, 1.4421], [0.0652, 0.0398, 8.6425]],
  "species": ["Tm", "Cu", "Cu", "Cu", "Cu", "Cu", "Cu", "Cu", "Cu", "Cu", "Zr", "Zr"],
  "frac_coords": [[0.0000, 0.0000, 0.0000], [0.0833, 0.5838, 0.7492], [0.5000, 0.5000, 0.5000], [0.6676, 0.6676, 0.9973], [0.4162, 0.9167, 0.2508], [0.3324, 0.3324, 0.0027], [0.9167, 0.4162, 0.2508], [0.4162, 0.4162, 0.2508], [0.5838, 0.5838, 0.7492], [0.5838, 0.0833, 0.7492], [0.8500, 0.8500, 0.4501], [0.1500, 0.1500, 0.5499]]
}